A relaxed structure of Na3TaS4, computed with PBE.

Cell and atoms, written as POSCAR:
```
Na3TaS4
1.0
-14.9788 12.9557 1.3184
-14.2513 -0.9314 4.3815
-0.4844 13.3564 4.9128
Na Ta S
24 8 32
Direct
0.6686 0.8314 0.8314
0.4186 0.5814 0.5814
0.1863 0.3137 0.3137
0.9363 0.0637 0.0637
0.4487 0.5449 0.0557
0.9507 0.0557 0.5449
0.1943 0.2993 0.8013
0.7051 0.8013 0.2993
0.0000 0.4444 0.7408
0.8148 0.7408 0.4444
0.5092 0.4352 0.2500
0.8056 0.2500 0.4352
0.8015 0.9860 0.8854
0.3271 0.8854 0.9860
0.3646 0.9229 0.4485
0.2640 0.4485 0.9229
0.5125 0.2349 0.9350
0.3176 0.9350 0.2349
0.3150 0.9324 0.7375
0.0151 0.7375 0.9324
0.9054 0.9107 0.3687
0.8152 0.3687 0.9107
0.8813 0.4348 0.3446
0.3393 0.3446 0.4348
0.1137 0.9002 0.6401
0.3459 0.6401 0.9002
0.6099 0.9041 0.1363
0.3498 0.1363 0.9041
0.1092 0.6203 0.4101
0.8603 0.4101 0.6203
0.8399 0.3897 0.1408
0.6297 0.1408 0.3897
0.8172 0.1796 0.8508
0.1524 0.8508 0.1796
0.3992 0.0976 0.4328
0.0704 0.4328 0.0976
0.1673 0.7066 0.6431
0.4831 0.6431 0.7066
0.6069 0.7669 0.0827
0.5434 0.0827 0.7669
0.2911 0.7815 0.3599
0.5675 0.3599 0.7815
0.8901 0.6825 0.9589
0.4685 0.9589 0.6825
0.1816 0.9271 0.7040
0.1874 0.7040 0.9271
0.5460 0.0626 0.0684
0.3229 0.0684 0.0626
0.8976 0.9133 0.6006
0.5886 0.6006 0.9133
0.6494 0.6614 0.3524
0.3367 0.3524 0.6614
0.3889 0.4283 0.2108
0.9721 0.2108 0.4283
0.0392 0.2779 0.8611
0.8217 0.8611 0.2779
0.1244 0.5637 0.2460
0.0659 0.2460 0.5637
0.0040 0.1841 0.1256
0.6863 0.1256 0.1841
0.0341 0.5646 0.5737
0.8276 0.5737 0.5646
0.6763 0.4224 0.2159
0.6854 0.2159 0.4224
```

Output
raw formation energy	-1148	meV per atom
ρ	3.2	g cm⁻³

A relaxed structure of Li2Mg8Ga, computed with PBE.

Cell and atoms, written as POSCAR:
```
Li2Mg8Ga
1.0
-1.9285 -3.6612 1.9835
-0.8096 -3.0879 -6.4871
7.5906 -0.0068 2.0595
Li Mg Ga
2 8 1
Direct
0.7802 0.3642 0.5603
0.2198 0.6358 0.4397
0.4035 0.5501 0.8069
0.6776 0.9177 0.3551
0.8590 0.8106 0.7179
0.9574 0.2723 0.9147
0.1410 0.1894 0.2821
0.3224 0.0823 0.6449
0.5965 0.4499 0.1931
0.0426 0.7277 0.0853
0.5000 0.0000 0.0000
```

Output
energy relative to the elements	-0.041	eV per atom
ρ	2.0	g cm⁻³
polymorph energy (0 for the lowest one)	0.022	eV/atom